[1]
Here is a relaxed Rb3LiTl crystal from Alexandria. Energies are from PBE.

Summary:
Energy relative to the lowest polymorph listed for this composition = 0 kJ/mol of formula units
Electronic total energy = -1.20 eV per atom
Size of the total moment = 0.00 μB per formula unit

abc: 7.1150 7.1150 7.1150
angles: 90.00 90.00 90.00
With the nearest neighbours (Å) after each atom.
Element x y z (fractional)
Rb: 0.0000 0.5000 0.0000  2 Tl 3.56
Tl: 0.0000 0.0000 0.0000  6 Rb 3.56
Rb: 0.0000 0.0000 0.5000  2 Tl 3.56
Rb: 0.5000 0.0000 0.0000  2 Tl 3.56
Li: 0.5000 0.5000 0.5000  12 Rb 5.03

[2]
Here is a relaxed PmZn2Hg2 crystal from Alexandria. Energies are from PBE.

Summary:
Energy relative to the lowest polymorph listed for this composition = 0 kJ/mol of formula units
Electronic total energy = -1.83 eV per atom
Size of the total moment = 0.00 μB per formula unit

abc: 4.7477 4.7478 6.2198
angles: 112.20 90.13 120.14
With the nearest neighbours (Å) after each atom.
Element x y z (fractional)
Hg: 0.7218 0.4440 0.6658  3 Zn 2.76-2.77
Zn: 0.0773 0.1561 0.7334  1 Zn 2.61, 3 Hg 2.76-2.77
Hg: 0.2782 0.5560 0.3342  3 Zn 2.76-2.77
Pm: 0.5000 0.0000 0.0000  6 Zn 3.12, 6 Hg 3.31-3.32
Zn: 0.9227 0.8439 0.2666  1 Zn 2.61, 3 Hg 2.76-2.77

Number 1: formation enthalpy at 0 K 0.24 eV per atom. Number 2: formation enthalpy at 0 K -0.25 eV per atom.